No. 1
Compound: Er4Ni2Sn
Source: the Alexandria database
Functional: GGA-PBE
Structure: optimized geometry

Final energy ... -5.27 eV per atom
DOS at the Fermi energy ... 11.33 states/eV/cell
ρ ... 9.22 g/cm3
Size of the total moment ... 0.000 μB per cell
DFT formation energy ... -10.14 kcal/mol of atoms

abc: 8.524 8.526 6.747
angles: 107.98 107.97 121.20
Element x y z (fractional)
Er1 0.872 0.553 0.595
Er2 0.348 0.020 0.218
Er3 0.512 0.776 0.937
Er4 0.270 0.098 0.718
Er5 0.026 0.262 0.437
Er6 0.421 0.512 0.274
Er7 0.803 0.622 0.095
Er8 0.762 0.171 0.774
Sn1 0.205 0.685 0.407
Ni1 0.812 0.900 0.453
Ni2 0.150 0.562 0.953
Sn2 0.935 0.955 0.907
Ni3 0.653 0.230 0.117
Ni4 0.480 0.403 0.617

No. 2
Compound: Er2NiSn6
Source: the Alexandria database
Functional: GGA-PBE
Structure: optimized geometry

Final energy ... -4.77 eV per atom
DOS at the Fermi energy ... 2.18 states/eV/cell
ρ ... 8.42 g/cm3
Size of the total moment ... 0.000 μB per cell
DFT formation energy ... -10.35 kcal/mol of atoms

abc: 11.522 11.522 4.422
angles: 90.00 90.00 158.19
Element x y z (fractional)
Sn1 0.295 0.705 0.500
Sn2 0.929 0.071 0.500
Ni1 0.500 0.500 0.500
Sn3 0.071 0.929 0.500
Sn4 0.430 0.570 0.000
Er1 0.179 0.821 0.000
Sn5 0.570 0.430 0.000
Sn6 0.705 0.295 0.500
Er2 0.821 0.179 0.000

No. 3
Compound: ErNi9Sn2
Source: the Alexandria database
Functional: GGA-PBE
Structure: optimized geometry

Final energy ... -5.63 eV per atom
DOS at the Fermi energy ... 34.05 states/eV/cell
ρ ... 9.47 g/cm3
Energy above the most stable polymorph in this dataset ... 0 meV per atom
Size of the total moment ... 0.000 μB per cell
DFT formation energy ... -5.64 kcal/mol of atoms

abc: 4.863 8.202 8.202
angles: 90.00 90.00 90.00
Element x y z (fractional)
Er1 0.000 0.000 0.000
Ni1 0.500 0.000 0.500
Sn1 0.000 0.372 0.872
Sn2 0.000 0.128 0.372
Ni2 0.246 0.326 0.174
Er2 0.000 0.500 0.500
Ni3 0.754 0.674 0.826
Ni4 0.500 0.935 0.795
Ni5 0.246 0.174 0.674
Ni6 0.500 0.065 0.205
Ni7 0.500 0.565 0.295
Ni8 0.246 0.674 0.826
Ni9 0.246 0.826 0.326
Ni10 0.754 0.174 0.674
Sn3 0.000 0.628 0.128
Sn4 0.000 0.872 0.628
Ni11 0.500 0.295 0.435
Ni12 0.500 0.500 0.000
Ni13 0.500 0.705 0.565
Ni14 0.500 0.435 0.705
Ni15 0.500 0.795 0.065
Ni16 0.500 0.205 0.935
Ni17 0.754 0.826 0.326
Ni18 0.754 0.326 0.174

No. 4
Compound: ErNi4Sn
Source: the Alexandria database
Functional: GGA-PBE
Structure: optimized geometry

Final energy ... -5.68 eV per atom
DOS at the Fermi energy ... 6.59 states/eV/cell
ρ ... 9.93 g/cm3
Size of the total moment ... 0.000 μB per cell
DFT formation energy ... -9.16 kcal/mol of atoms

abc: 4.975 4.975 4.975
angles: 60.00 60.00 60.00
Element x y z (fractional)
Ni1 0.124 0.625 0.625
Er1 0.250 0.250 0.250
Ni2 0.625 0.625 0.625
Sn1 0.000 0.000 0.000
Ni3 0.625 0.625 0.124
Ni4 0.625 0.124 0.625

No. 5
Compound: ErNi4Sn12
Source: the Alexandria database
Functional: GGA-PBE
Structure: optimized geometry

Final energy ... -4.63 eV per atom
DOS at the Fermi energy ... 7.79 states/eV/cell
ρ ... 7.70 g/cm3
Size of the total moment ... 0.000 μB per cell
DFT formation energy ... -4.11 kcal/mol of atoms

abc: 8.000 8.000 8.000
angles: 109.47 109.47 109.47
Element x y z (fractional)
Sn1 0.667 0.833 0.166
Sn2 0.499 0.166 0.333
Sn3 0.166 0.333 0.499
Sn4 0.501 0.834 0.667
Er1 0.000 0.000 0.000
Sn5 0.333 0.167 0.834
Ni1 0.000 0.000 0.500
Sn6 0.333 0.499 0.166
Sn7 0.166 0.667 0.833
Sn8 0.834 0.667 0.501
Ni2 0.500 0.500 0.500
Sn9 0.833 0.166 0.667
Ni3 0.000 0.500 0.000
Sn10 0.167 0.834 0.333
Sn11 0.834 0.333 0.167
Sn12 0.667 0.501 0.834
Ni4 0.500 0.000 0.000

No. 6
Compound: ErNi2Sn
Source: the Alexandria database
Functional: GGA-PBE
Structure: optimized geometry

Final energy ... -5.39 eV per atom
DOS at the Fermi energy ... 3.60 states/eV/cell
ρ ... 9.71 g/cm3
Size of the total moment ... 0.000 μB per cell
DFT formation energy ... -8.20 kcal/mol of atoms

abc: 3.507 4.436 4.436
angles: 90.00 90.00 90.00
Element x y z (fractional)
Er1 0.500 0.000 0.000
Sn1 0.500 0.500 0.500
Ni1 0.000 0.000 0.500
Ni2 0.000 0.500 0.000